The following is a PBE calculation of a geometry-optimized Ag3H4Pd9 structure, from Alexandria.

```
Ag3H4Pd9
1.0
5.354 0.000 1.890
2.343 4.814 1.890
0.135 0.085 8.146
H Pd Ag
4 9 3
Cartesian
1.099 0.687 5.416 H
5.526 3.456 9.930 H
4.354 2.723 4.721 H
2.134 1.335 2.483 H
4.483 4.479 8.620 Pd
5.484 1.747 5.803 Pd
2.795 1.749 4.854 Pd
5.988 2.071 8.620 Pd
3.692 2.310 2.351 Pd
3.973 4.166 5.803 Pd
4.860 4.705 3.291 Pd
6.357 2.309 3.291 Pd
7.161 4.477 9.565 Pd
3.312 2.071 7.675 Ag
7.541 4.716 4.223 Ag
6.644 4.155 6.762 Ag
```

Output
- Space-group type: R-3m, No. 166
- Raw total energy: -68.905 eV/cell